--- A ---
The following is a DFT calculation (GGA-PBE) of crystalline Pm2Ge6Ir at its relaxed geometry.

abc: 6.104 6.104 5.478
angles: 90.00 90.00 120.00
Sites, in units of the cell vectors:
Pm: 0.333 0.667 0.181
Pm: 0.667 0.333 0.819
Ge: 0.182 0.364 0.690
Ge: 0.182 0.818 0.690
Ge: 0.364 0.182 0.310
Ge: 0.636 0.818 0.690
Ge: 0.818 0.182 0.310
Ge: 0.818 0.636 0.310
Ir: 0.000 0.000 0.000

As for the total moment: 0.00 μB per cell. For the volume, the calculation gives 19.644 Å³/atom. As for the density of states at the Fermi level: 4.80 states/eV per cell. Its space-group type is No. 164.

--- B ---
The following is a DFT calculation (GGA-PBE) of crystalline Pm2Ge6Ir at its relaxed geometry.

abc: 4.235 11.315 11.315
angles: 20.65 90.00 90.00
Sites, in units of the cell vectors:
Pm: 0.000 0.000 0.000
Pm: 0.000 0.338 0.338
Ge: 0.000 0.619 0.619
Ge: 0.000 0.732 0.732
Ge: 0.500 0.123 0.123
Ge: 0.500 0.236 0.236
Ge: 0.500 0.450 0.450
Ge: 0.500 0.880 0.880
Ir: 0.500 0.560 0.560

As for the total moment: 0.00 μB per cell. For the volume, the calculation gives 21.240 Å³/atom. As for the density of states at the Fermi level: 2.78 states/eV per cell. Its space-group type is No. 38.

Pick B: it beats the second-best structure by 0.012 eV/atom.

--- A ---
The following is a DFT calculation (GGA-PBE) of crystalline Pm5GeIr2 at its relaxed geometry.

abc: 7.214 7.214 14.373
angles: 90.00 90.00 133.74
Sites, in units of the cell vectors:
Pm: 0.053 0.947 0.614
Pm: 0.053 0.947 0.886
Pm: 0.223 0.777 0.250
Pm: 0.329 0.671 0.560
Pm: 0.329 0.671 0.940
Pm: 0.671 0.329 0.060
Pm: 0.671 0.329 0.440
Pm: 0.777 0.223 0.750
Pm: 0.947 0.053 0.114
Pm: 0.947 0.053 0.386
Ge: 0.218 0.782 0.750
Ge: 0.782 0.218 0.250
Ir: 0.150 0.850 0.058
Ir: 0.150 0.850 0.442
Ir: 0.850 0.150 0.558
Ir: 0.850 0.150 0.942

As for the total moment: 0.00 μB per cell. For the volume, the calculation gives 33.780 Å³/atom. As for the density of states at the Fermi level: 11.86 states/eV per cell. Its space-group type is No. 63.

--- B ---
The following is a DFT calculation (GGA-PBE) of crystalline Pm5GeIr2 at its relaxed geometry.

abc: 8.736 8.736 8.736
angles: 126.34 126.34 79.33
Sites, in units of the cell vectors:
Pm: 0.000 0.000 0.000
Pm: 0.024 0.524 0.827
Pm: 0.198 0.024 0.500
Pm: 0.302 0.802 0.827
Pm: 0.476 0.302 0.500
Pm: 0.500 0.500 0.000
Pm: 0.524 0.698 0.500
Pm: 0.698 0.198 0.173
Pm: 0.802 0.976 0.500
Pm: 0.976 0.476 0.173
Ge: 0.250 0.250 0.000
Ge: 0.750 0.750 0.000
Ir: 0.136 0.364 0.500
Ir: 0.364 0.864 0.229
Ir: 0.636 0.136 0.771
Ir: 0.864 0.636 0.500

As for the total moment: 0.00 μB per cell. For the volume, the calculation gives 26.139 Å³/atom. As for the density of states at the Fermi level: 16.71 states/eV per cell. Its space-group type is No. 140.

Pick B: it beats the second-best structure by 0.222 eV/atom.

--- A ---
The following is a DFT calculation (GGA-PBE) of crystalline Pm3Ge8Ir3 at its relaxed geometry.

abc: 8.398 8.398 8.398
angles: 150.92 101.41 85.89
Sites, in units of the cell vectors:
Pm: 0.000 0.000 0.000
Pm: 0.316 0.316 0.000
Pm: 0.684 0.684 0.000
Ge: 0.029 0.656 0.373
Ge: 0.177 0.878 0.299
Ge: 0.283 0.656 0.627
Ge: 0.422 0.122 0.299
Ge: 0.578 0.878 0.701
Ge: 0.717 0.344 0.373
Ge: 0.823 0.122 0.701
Ge: 0.971 0.344 0.627
Ir: 0.294 0.500 0.794
Ir: 0.500 0.000 0.500
Ir: 0.706 0.500 0.206

As for the total moment: 0.00 μB per cell. For the volume, the calculation gives 19.695 Å³/atom. As for the density of states at the Fermi level: 6.26 states/eV per cell. Its space-group type is No. 71.

--- B ---
The following is a DFT calculation (GGA-PBE) of crystalline Pm3Ge8Ir3 at its relaxed geometry.

abc: 8.474 8.474 8.605
angles: 116.59 116.59 30.32
Sites, in units of the cell vectors:
Pm: 0.000 0.000 0.000
Pm: 0.282 0.282 0.316
Pm: 0.718 0.718 0.684
Ge: 0.124 0.124 0.411
Ge: 0.174 0.174 0.898
Ge: 0.368 0.368 0.735
Ge: 0.479 0.479 0.307
Ge: 0.521 0.521 0.693
Ge: 0.632 0.632 0.265
Ge: 0.826 0.826 0.102
Ge: 0.876 0.876 0.589
Ir: 0.000 0.000 0.500
Ir: 0.348 0.348 0.999
Ir: 0.652 0.652 0.001

As for the total moment: 0.00 μB per cell. For the volume, the calculation gives 19.739 Å³/atom. As for the density of states at the Fermi level: 5.89 states/eV per cell. Its space-group type is No. 12.

Pick B: it beats the second-best structure by 0.094 eV/atom.

--- A ---
The following is a DFT calculation (GGA-PBE) of crystalline Pm3Ge3Ir at its relaxed geometry.

abc: 8.602 8.602 5.867
angles: 90.00 90.00 120.00
Sites, in units of the cell vectors:
Pm: 0.091 0.690 0.250
Pm: 0.310 0.401 0.250
Pm: 0.401 0.091 0.750
Pm: 0.599 0.909 0.250
Pm: 0.690 0.599 0.750
Pm: 0.909 0.310 0.750
Ge: 0.085 0.722 0.750
Ge: 0.278 0.362 0.750
Ge: 0.362 0.085 0.250
Ge: 0.638 0.915 0.750
Ge: 0.722 0.638 0.250
Ge: 0.915 0.278 0.250
Ir: 0.333 0.667 0.750
Ir: 0.667 0.333 0.250

As for the total moment: 0.30 μB per cell. For the volume, the calculation gives 26.857 Å³/atom. As for the density of states at the Fermi level: 14.07 states/eV per cell. Its space-group type is No. 176.

--- B ---
The following is a DFT calculation (GGA-PBE) of crystalline Pm3Ge3Ir at its relaxed geometry.

abc: 5.810 5.810 13.865
angles: 90.00 90.00 137.88
Sites, in units of the cell vectors:
Pm: 0.001 0.999 0.750
Pm: 0.290 0.710 0.099
Pm: 0.290 0.710 0.401
Pm: 0.710 0.290 0.599
Pm: 0.710 0.290 0.901
Pm: 0.999 0.001 0.250
Ge: 0.282 0.718 0.750
Ge: 0.428 0.572 0.594
Ge: 0.428 0.572 0.906
Ge: 0.572 0.428 0.094
Ge: 0.572 0.428 0.406
Ge: 0.718 0.282 0.250
Ir: 0.000 0.000 0.000
Ir: 0.000 0.000 0.500

As for the total moment: 0.00 μB per cell. For the volume, the calculation gives 22.423 Å³/atom. As for the density of states at the Fermi level: 8.64 states/eV per cell. Its space-group type is No. 63.

Pick B: it beats the second-best structure by 0.315 eV/atom.